(1)
Density functional theory data (GGA+U) for a geometry-optimized CaMg2CoO4 structure.

Structure (POSCAR):
```
CaMg2CoO4
1.0
3.120 0.000 0.000
-1.560 5.346 0.000
0.000 0.000 11.035
Ca Mg Co O
2 4 2 8
Direct
0.129 0.258 0.750 Ca
0.871 0.742 0.250 Ca
0.371 0.743 0.532 Mg
0.629 0.257 0.032 Mg
0.629 0.257 0.468 Mg
0.371 0.743 0.968 Mg
0.866 0.731 0.750 Co
0.134 0.269 0.250 Co
0.253 0.506 0.114 O
0.747 0.494 0.614 O
0.747 0.494 0.886 O
0.253 0.506 0.386 O
0.000 0.000 0.500 O
0.000 0.000 0.000 O
0.473 0.945 0.750 O
0.527 0.055 0.250 O
```

Calculated values
final energy: -5.969 eV per atom
calculated volume: 184.1 Å³ per cell
space group: Cmcm
N(E_F): 0.000 states/eV per cell

(2)
Density functional theory data (GGA+U) for a geometry-optimized MnTlF3 structure.

Structure (POSCAR):
```
MnTlF3
1.0
-5.125 0.068 -3.671
5.427 -0.606 -7.588
-0.306 -6.580 0.306
Tl Mn F
4 4 12
Direct
0.000 0.000 0.500 Tl
0.500 0.500 0.000 Tl
0.500 0.000 0.000 Tl
0.000 0.500 0.500 Tl
0.481 0.250 0.545 Mn
0.019 0.750 0.045 Mn
0.519 0.750 0.455 Mn
0.981 0.250 0.955 Mn
0.120 0.909 0.867 F
0.380 0.409 0.367 F
0.380 0.091 0.367 F
0.880 0.409 0.133 F
0.880 0.091 0.133 F
0.620 0.591 0.633 F
0.620 0.909 0.633 F
0.120 0.591 0.867 F
0.263 0.250 0.793 F
0.237 0.750 0.293 F
0.737 0.750 0.207 F
0.763 0.250 0.707 F
```

Calculated values
final energy: -5.281 eV per atom
calculated volume: 388.7 Å³ per cell
space group: Pnma
N(E_F): 0.000 states/eV per cell